# 1
ZrAu | Alexandria | PBE | optimized geometry; theoretical density = 10.3 g/cm3; ΔE_f = -0.01 eV/atom; size of the total moment = 0.27 μB per atom; total DFT energy (no corrections) = -5.92 eV per atom
1.0
7.967 0.000 0.000
-3.983 6.899 0.000
0.000 0.000 5.062
Zr Au
6 6
Direct
0.092 0.450 0.250
0.358 0.908 0.250
0.450 0.358 0.750
0.550 0.642 0.250
0.642 0.092 0.750
0.908 0.550 0.750
0.048 0.269 0.750
0.221 0.952 0.750
0.269 0.221 0.250
0.731 0.779 0.750
0.779 0.048 0.250
0.952 0.731 0.250

# 2
ZrAu2 | Alexandria | PBE | optimized geometry; theoretical density = 13.5 g/cm3; ΔE_f = -0.16 eV/atom; size of the total moment = 0.51 μB per atom; total DFT energy (no corrections) = -5.19 eV per atom
1.0
0.000 3.908 3.908
3.908 0.000 3.908
3.908 3.908 0.000
Zr Au
2 4
Direct
0.125 0.125 0.125
0.875 0.875 0.875
0.000 0.500 0.500
0.500 0.000 0.500
0.500 0.500 0.000
0.500 0.500 0.500

# 3
Zr4Au5 | Alexandria | PBE | optimized geometry; theoretical density = 12.5 g/cm3; ΔE_f = -0.42 eV/atom; energy above the lowest structure with this stoichiometry = 0.0 meV/atom; size of the total moment = 0.00 μB per atom; total DFT energy (no corrections) = -6.04 eV per atom
1.0
8.454 0.000 0.000
-4.227 7.322 0.000
0.000 0.000 5.813
Zr Au
8 10
Direct
0.000 0.000 0.000
0.000 0.000 0.500
0.000 0.345 0.250
0.000 0.655 0.750
0.345 0.000 0.250
0.345 0.345 0.750
0.655 0.000 0.750
0.655 0.655 0.250
0.000 0.323 0.750
0.000 0.677 0.250
0.323 0.000 0.750
0.323 0.323 0.250
0.333 0.667 0.000
0.333 0.667 0.500
0.667 0.333 0.000
0.667 0.333 0.500
0.677 0.000 0.250
0.677 0.677 0.750

# 4
Zr3Au4 | Alexandria | PBE | optimized geometry; theoretical density = 12.9 g/cm3; ΔE_f = -0.44 eV/atom; energy above the lowest structure with this stoichiometry = 115.1 meV/atom; size of the total moment = 0.13 μB per atom; total DFT energy (no corrections) = -5.98 eV per atom
1.0
4.313 0.000 0.000
-2.153 4.731 0.000
-0.009 -1.045 6.720
Zr Au
3 4
Direct
0.000 0.000 0.000
0.412 0.823 0.278
0.588 0.177 0.722
0.136 0.272 0.429
0.297 0.594 0.854
0.703 0.406 0.146
0.864 0.728 0.571

What is the theoretical density in the third record?
12.5 g/cm3